No. 1
Density functional theory data (PBE) for crystalline BaAcLa14 at its relaxed geometry.

a = 7.532 Å, b = 7.532 Å, c = 10.663 Å
α = 90.00°, β = 90.00°, γ = 90.00°
Sites, in units of the cell vectors:
Ba1 0.875 0.875 0.500
Ac1 0.375 0.375 0.500
La1 0.875 0.875 0.000
La2 0.375 0.375 0.000
La3 0.875 0.375 0.500
La4 0.875 0.375 0.000
La5 0.375 0.875 0.500
La6 0.375 0.875 0.000
La7 0.619 0.131 0.239
La8 0.619 0.131 0.761
La9 0.131 0.619 0.239
La10 0.131 0.619 0.761
La11 0.619 0.619 0.239
La12 0.619 0.619 0.761
La13 0.132 0.132 0.239
La14 0.132 0.132 0.761

Values from the calculation:
DFT total energy	-4.649	eV/atom
magnetization	0.0	μB/cell

=====

No. 2
Density functional theory data (PBE) for crystalline Cs2Er2PuS6 at its relaxed geometry.

a = 6.941 Å, b = 6.941 Å, c = 8.581 Å
α = 97.92°, β = 97.92°, γ = 119.99°
Site moments in Bohr magnetons follow the coordinates.
Sites, in units of the cell vectors:
Cs1 0.832 0.168 0.000  0.00
Cs2 0.168 0.832 0.000  0.00
Er1 0.333 0.667 0.500  0.00
Er2 0.667 0.333 0.500  0.00
Pu1 0.000 0.000 0.500  4.50
S1 0.731 0.731 0.675  -0.07
S2 0.059 0.389 0.676  -0.06
S3 0.269 0.269 0.325  -0.07
S4 0.389 0.059 0.676  -0.06
S5 0.941 0.611 0.324  -0.06
S6 0.611 0.941 0.324  -0.06

Values from the calculation:
magnetization	4.0	μB/cell
formation energy from raw total energies	-1743.0	meV/atom

=====

No. 3
Density functional theory data (PBE) for crystalline SnBiO2 at its relaxed geometry.

a = 7.344 Å, b = 7.344 Å, c = 7.344 Å
α = 26.95°, β = 26.95°, γ = 26.95°
Sites, in units of the cell vectors:
Bi1 0.000 0.000 0.000
O1 0.883 0.883 0.883
O2 0.117 0.117 0.117
Sn1 0.500 0.500 0.500

Values from the calculation:
magnetization	0.0	μB/cell
relative energy among the computed polymorphs	0.00	eV per formula unit
formation energy from raw total energies	-961.6	meV/atom

=====

No. 4
Density functional theory data (PBE) for crystalline Ca2YCu at its relaxed geometry.

a = 3.555 Å, b = 3.544 Å, c = 10.009 Å
α = 69.27°, β = 90.00°, γ = 90.00°
Site moments in Bohr magnetons follow the coordinates.
Sites, in units of the cell vectors:
Y1 0.500 0.750 0.750  0.17
Ca1 0.000 0.941 0.059  0.01
Ca2 0.000 0.559 0.441  0.01
Cu1 0.500 0.250 0.250  0.00

Values from the calculation:
magnetization	0.4	μB/cell
relative energy among the computed polymorphs	0.42	eV per formula unit

=====

No. 5
Density functional theory data (PBE) for crystalline CaTe2Mo at its relaxed geometry.

a = 5.332 Å, b = 5.332 Å, c = 5.332 Å
α = 60.00°, β = 60.00°, γ = 60.00°
Site moments in Bohr magnetons follow the coordinates.
Sites, in units of the cell vectors:
Mo1 0.750 0.750 0.750  3.22
Te1 0.000 0.000 0.000  -0.12
Te2 0.250 0.250 0.250  -0.06
Ca1 0.500 0.500 0.500  0.10

Values from the calculation:
magnetization	4.0	μB/cell
relative energy among the computed polymorphs	3.37	eV per formula unit
formation energy from raw total energies	410.3	meV/atom

=====

No. 6
Density functional theory data (PBE) for crystalline In2HgS at its relaxed geometry.

a = 6.881 Å, b = 6.881 Å, c = 7.342 Å
α = 62.05°, β = 62.05°, γ = 90.00°
Sites, in units of the cell vectors:
S1 0.500 0.500 0.000
S2 0.250 0.750 0.500
Hg1 0.000 0.000 0.000
Hg2 0.750 0.250 0.500
In1 0.604 0.125 0.250
In2 0.146 0.625 0.250
In3 0.375 0.396 0.750
In4 0.875 0.854 0.750

Values from the calculation:
magnetization	0.0	μB/cell
relative energy among the computed polymorphs	0.44	eV per formula unit
formation energy from raw total energies	-126.9	meV/atom

=====

No. 7
Density functional theory data (PBE) for crystalline Ta4MnAl at its relaxed geometry.

a = 5.413 Å, b = 5.413 Å, c = 5.413 Å
α = 60.00°, β = 60.00°, γ = 60.00°
Site moments in Bohr magnetons follow the coordinates.
Sites, in units of the cell vectors:
Ta1 0.874 0.375 0.375  -0.15
Ta2 0.375 0.375 0.874  -0.15
Ta3 0.375 0.874 0.375  -0.15
Ta4 0.375 0.375 0.375  -0.15
Mn1 0.000 0.000 0.000  3.25
Al1 0.750 0.750 0.750  -0.01

Values from the calculation:
DFT total energy	-9.572	eV/atom
magnetization	2.4	μB/cell

=====

No. 8
Density functional theory data (PBE) for crystalline ErTmMnRh at its relaxed geometry.

a = 4.856 Å, b = 4.856 Å, c = 4.856 Å
α = 60.00°, β = 60.00°, γ = 60.00°
Site moments in Bohr magnetons follow the coordinates.
Sites, in units of the cell vectors:
Tm1 0.750 0.750 0.750  -0.19
Rh1 0.000 0.000 0.000  0.19
Mn1 0.500 0.500 0.500  3.27
Er1 0.250 0.250 0.250  -0.19

Values from the calculation:
DFT total energy	-6.716	eV/atom
magnetization	3.2	μB/cell

=====

No. 9
Density functional theory data (PBE) for crystalline SrPBr2 at its relaxed geometry.

a = 3.968 Å, b = 6.048 Å, c = 4.482 Å
α = 90.00°, β = 90.00°, γ = 90.00°
Sites, in units of the cell vectors:
Br1 0.000 0.000 0.000
Br2 0.500 0.500 0.000
P1 0.500 0.000 0.500
Sr1 0.000 0.500 0.500

Values from the calculation:
magnetization	0.0	μB/cell
relative energy among the computed polymorphs	0.72	eV per formula unit
formation energy from raw total energies	-701.7	meV/atom

=====

No. 10
Density functional theory data (PBE) for crystalline TlCuP2S8 at its relaxed geometry.

a = 5.447 Å, b = 5.447 Å, c = 11.553 Å
α = 76.37°, β = 76.37°, γ = 60.00°
Sites, in units of the cell vectors:
Tl1 0.500 0.500 0.500
Cu1 0.000 0.000 0.000
P1 0.262 0.262 0.214
P2 0.738 0.738 0.786
S1 0.203 0.203 0.392
S2 0.631 0.307 0.140
S3 0.797 0.797 0.608
S4 0.921 0.631 0.140
S5 0.079 0.369 0.860
S6 0.307 0.921 0.140
S7 0.693 0.079 0.860
S8 0.369 0.693 0.860

Values from the calculation:
magnetization	0.0	μB/cell
formation energy from raw total energies	7.5	meV/atom

=====

No. 11
Density functional theory data (PBE) for crystalline Be2NiBr at its relaxed geometry.

a = 4.221 Å, b = 4.221 Å, c = 2.945 Å
α = 89.98°, β = 89.98°, γ = 107.22°
Sites, in units of the cell vectors:
Ni1 0.000 0.500 0.500
Br1 0.500 0.000 0.500
Be1 0.000 0.000 0.000
Be2 0.500 0.500 0.000

Values from the calculation:
magnetization	0.0	μB/cell
relative energy among the computed polymorphs	2.06	eV per formula unit
formation energy from raw total energies	577.5	meV/atom

=====

No. 12
Density functional theory data (PBE) for crystalline SrPtWSe2 at its relaxed geometry.

a = 5.377 Å, b = 5.298 Å, c = 5.377 Å
α = 90.00°, β = 90.00°, γ = 90.00°
Site moments in Bohr magnetons follow the coordinates.
Sites, in units of the cell vectors:
Sr1 0.000 0.000 0.000  0.01
Se1 0.000 0.000 0.500  0.16
Se2 0.500 0.000 0.000  0.14
W1 0.000 0.500 0.000  0.02
Pt1 0.500 0.500 0.500  0.27

Values from the calculation:
magnetization	0.7	μB/cell
formation energy from raw total energies	2282.4	meV/atom